The following is a GGA-PBE calculation of a geometry-optimized GeIrS2Cl structure, from Alexandria via LeMat-Bulk.

Density of states at the Fermi level ... 4.64 states/eV/cell
Total energy ... -4.363 eV/atom
Formation energy without anion corrections ... 170 kJ/mol of formula units

Geometry as CIF:
```
data_GeIrS2Cl
_symmetry_space_group_name_H-M 'P 4/m m m'
_symmetry_Int_Tables_number 123
_symmetry_space_group_name_Hall '-P 4 2'
_cell_length_a 4.694
_cell_length_b 4.694
_cell_length_c 4.730
_cell_angle_alpha 90.00
_cell_angle_beta 90.00
_cell_angle_gamma 90.00
loop_
_atom_site_label
_atom_site_type_symbol
_atom_site_fract_x
_atom_site_fract_y
_atom_site_fract_z
Ge1 Ge 0.000 0.000 0.000
Ir1 Ir 0.500 0.500 0.500
S1 S 0.000 0.500 0.500
Cl1 Cl 0.500 0.500 0.000
```